No. 1
Density functional theory data (GGA-PBE) for crystalline Ba2TiRu at its relaxed geometry.

* relative energy among the computed polymorphs: 226.4 kJ/mol of formula units
* space-group type: Fm-3m, No. 225
* calculated formation energy: 1.05 eV per atom

```
Ba2TiRu
1.0
0.000 3.833 3.833
3.833 0.000 3.833
3.833 3.833 0.000
Ba Ti Ru
2 1 1
Direct
0.250 0.250 0.250
0.750 0.750 0.750
0.000 0.000 0.000
0.500 0.500 0.500
```

No. 2
Density functional theory data (GGA-PBE) for crystalline TcPb3N at its relaxed geometry.

* relative energy among the computed polymorphs: 0.0 kJ/mol of formula units
* space-group type: Pm-3m, No. 221
* raw formation energy: 5.58 eV per formula unit

```
TcPb3N
1.0
4.872 0.000 0.000
0.000 4.872 0.000
0.000 0.000 4.872
Tc Pb N
1 3 1
Direct
0.000 0.000 0.000
0.000 0.500 0.500
0.500 0.000 0.500
0.500 0.500 0.000
0.500 0.500 0.500
```

No. 3
Density functional theory data (GGA-PBE) for crystalline HfZrTi3 at its relaxed geometry.

* relative energy among the computed polymorphs: 311.2 kJ/mol of formula units
* space-group type: Pm-3m, No. 221
* calculated formation energy: 1.01 eV per atom

```
HfZrTi3
1.0
4.814 0.000 0.000
0.000 4.814 0.000
0.000 0.000 4.814
Hf Zr Ti
1 1 3
Direct
0.000 0.000 0.000
0.500 0.500 0.500
0.000 0.000 0.500
0.000 0.500 0.000
0.500 0.000 0.000
```

No. 4
Density functional theory data (GGA-PBE) for crystalline BIr2Ru at its relaxed geometry.

* space-group type: I-42d, No. 122
* calculated formation energy: 0.62 eV per atom

```
BIr2Ru
1.0
-2.538 2.538 5.195
2.538 -2.538 5.195
2.538 2.538 -5.195
B Ir Ru
2 4 2
Direct
0.000 0.000 0.000
0.750 0.250 0.500
0.065 0.625 0.940
0.375 0.315 0.440
0.685 0.125 0.060
0.875 0.935 0.560
0.250 0.750 0.500
0.500 0.500 0.000
```

| no. | uncorrected energy (eV per atom) | mass density (g cm⁻³) |
| --- | --- | --- |
| 1 | -4.2030 | 6.25 |
| 2 | -4.8470 | 10.54 |
| 3 | -7.4259 | 6.15 |
| 4 | -7.7978 | 12.31 |